Record 1
{"formula": "Hg2TeS4", "functional": "PBE", "state": "relaxed", "crystal_system": "tetragonal", "polymorph_energy_mev_per_atom": 297, "magnetic_moment_mub_per_fu": 0.4, "volume_a3_per_cell": 179.9, "spacegroup": "I4/mmm", "e_form_raw_ev_per_fu": 2.85, "dos_ef_per_ev_cell": 6.6, "lattice": [[5.2835, 0.0000, 0.0000], [0.0000, 5.2835, 0.0000], [2.6418, 2.6418, 6.4455]], "species": ["S", "S", "S", "S", "Hg", "Hg", "Te"], "fractional_positions": [[0.0000, 0.5000, 0.0000], [0.5000, 0.0000, 0.0000], [0.8047, 0.8047, 0.3906], [0.1953, 0.1953, 0.6094], [0.6148, 0.6148, 0.7703], [0.3852, 0.3852, 0.2297], [0.0000, 0.0000, 0.0000]]}

=====

Record 2
{"formula": "PuZr2TaN4", "functional": "PBE", "state": "relaxed", "crystal_system": "monoclinic", "magnetic_moment_mub_per_fu": 4.4, "volume_a3_per_cell": 99.0, "spacegroup": "P2/m", "e_form_raw_ev_per_fu": -11.35, "dos_ef_per_ev_cell": 6.8, "lattice": [[-1.0600, -2.1969, -2.1726], [-0.2184, -3.9250, 4.0755], [-4.9850, 2.6653, -0.2629]], "species": ["Pu", "N", "N", "N", "N", "Ta", "Zr", "Zr"], "fractional_positions": [[0.5000, 0.5000, 0.0000], [0.5000, 0.7659, 0.7583], [0.0000, 0.2358, 0.7470], [0.0000, 0.7642, 0.2530], [0.5000, 0.2341, 0.2417], [0.0000, 0.0000, 0.0000], [0.0000, 0.5000, 0.5000], [0.5000, 0.0000, 0.5000]]}

=====

Record 3
{"formula": "TaNiGePtAu", "functional": "PBE", "state": "relaxed", "crystal_system": "orthorhombic", "polymorph_energy_mev_per_atom": 0, "magnetic_moment_mub_per_fu": 0.0, "volume_a3_per_cell": 158.6, "spacegroup": "Amm2", "ef_mev_per_atom": -232.0, "dos_ef_per_ev_cell": 5.3, "lattice": [[-2.3832, 0.4425, -1.4914], [0.8485, -3.7296, -2.4626], [-6.2960, -6.7525, 8.0574]], "species": ["Ni", "Ni", "Ta", "Ta", "Ge", "Ge", "Pt", "Pt", "Au", "Au"], "fractional_positions": [[0.0000, 0.5000, 0.6907], [0.0000, 0.0000, 0.1907], [0.0000, 0.5000, 0.0589], [0.0000, 0.0000, 0.5589], [0.5000, 0.0000, 0.3640], [0.5000, 0.5000, 0.8640], [0.5000, 0.0000, 0.9951], [0.5000, 0.5000, 0.4951], [0.5000, 0.5000, 0.2552], [0.5000, 0.0000, 0.7552]]}

=====

Record 4
{"formula": "SiSb2Se", "functional": "PBE", "state": "relaxed", "crystal_system": "trigonal", "polymorph_energy_mev_per_atom": 0, "magnetic_moment_mub_per_fu": 0.0, "volume_a3_per_cell": 98.0, "spacegroup": "R-3m", "e_form_raw_ev_per_fu": 0.32, "dos_ef_per_ev_cell": 1.2, "lattice": [[7.1625, -0.0066, -0.0040], [5.9973, 3.9158, -0.0040], [5.9973, 1.7815, 3.4871]], "species": ["Se", "Sb", "Sb", "Si"], "fractional_positions": [[0.2500, 0.2500, 0.2500], [0.4907, 0.4907, 0.4907], [0.0093, 0.0093, 0.0093], [0.7500, 0.7500, 0.7500]]}